# PaNi6O12

PaNi6O12 after structural relaxation (PBE+U, the Alexandria database).

For the total DFT energy (no corrections), the calculation gives -190.6 eV per cell. As for the crystal system: cubic.

The space group is Im-3 (No. 204) and the conventional cell measures 7.313, 7.313 and 7.313 Å, with angles of 90.00, 90.00 and 90.00 degrees. The asymmetric unit holds Pa at (0.000, 0.000, 0.000), Ni at (0.000, 0.340, 0.500) and O at (0.000, 0.152, 0.319).